Version i
Compound: Li3OsBr
Source: Alexandria via LeMat-Bulk
Functional: PBE-GGA
Structure: optimized geometry

It has space group Pm-3m (No. 221), with a = 4.984 Å, b = 4.984 Å, c = 4.984 Å, α = 90.00°, β = 90.00° and γ = 90.00°. The distinct sites, in fractional coordinates, are Li at (0.000, 0.000, 0.500), Os at (0.000, 0.000, 0.000) and Br at (0.500, 0.500, 0.500).

The calculation puts the calculated volume at 24.76 Å³ per atom.

Version ii
Compound: Li3OsBr
Source: Alexandria via LeMat-Bulk
Functional: PBE-GGA
Structure: optimized geometry

It has space group Pm-3m (No. 221), with a = 4.645 Å, b = 4.645 Å, c = 4.645 Å, α = 90.00°, β = 90.00° and γ = 90.00°. The distinct sites, in fractional coordinates, are Li at (0.000, 0.000, 0.500), Os at (0.500, 0.500, 0.500) and Br at (0.000, 0.000, 0.000).

The calculation puts the calculated volume at 20.04 Å³ per atom.

Of them, the most stable is version ii and the least stable is version i.

Version i
Compound: LiOs3Br
Source: Alexandria via LeMat-Bulk
Functional: PBE-GGA
Structure: optimized geometry

It has space group Pm-3m (No. 221), with a = 4.563 Å, b = 4.563 Å, c = 4.563 Å, α = 90.00°, β = 90.00° and γ = 90.00°. The distinct sites, in fractional coordinates, are Li at (0.000, 0.000, 0.000), Os at (0.000, 0.500, 0.500) and Br at (0.500, 0.500, 0.500).

The calculation puts the calculated volume at 19.00 Å³ per atom.

Version ii
Compound: LiOs3Br
Source: Alexandria via LeMat-Bulk
Functional: PBE-GGA
Structure: optimized geometry

It has space group Pm-3m (No. 221), with a = 4.225 Å, b = 4.225 Å, c = 4.225 Å, α = 90.00°, β = 90.00° and γ = 90.00°. The distinct sites, in fractional coordinates, are Li at (0.000, 0.000, 0.000), Os at (0.000, 0.000, 0.500) and Br at (0.500, 0.500, 0.500).

The calculation puts the calculated volume at 15.08 Å³ per atom.

Of them, the most stable is version ii and the least stable is version i.

Version i
Compound: LiOsBr6
Source: Alexandria via LeMat-Bulk
Functional: PBE-GGA
Structure: optimized geometry

It has space group R-3 (No. 148, hexagonal axes), with a = 6.6242 Å, b = 6.6242 Å, c = 17.8416 Å, α = 90.00°, β = 90.00° and γ = 120.00°. The distinct sites, in fractional coordinates, are Li at (0.0000, 0.0000, 0.0000), Os at (0.0000, 0.0000, 0.5000) and Br at (0.0059, 0.3111, 0.4202).

The calculation puts the calculated volume at 28.25 Å³ per atom.

Version ii
Compound: LiOsBr6
Source: Alexandria via LeMat-Bulk
Functional: PBE-GGA
Structure: optimized geometry

It has space group C2/m (No. 12), with a = 7.205 Å, b = 11.995 Å, c = 7.099 Å, α = 90.00°, β = 118.14° and γ = 90.00°. The distinct sites, in fractional coordinates, are Li at (0.000, 0.000, 0.000), Os at (0.000, 0.500, 0.500), Br at (0.201, 0.500, 0.302) and Br at (0.238, 0.352, 0.744).

The calculation puts the calculated volume at 33.82 Å³ per atom.

Of them, the most stable is version ii and the least stable is version i.

Version i
Compound: Li2OsBr2
Source: Alexandria via LeMat-Bulk
Functional: PBE-GGA
Structure: optimized geometry

It has space group P4/mbm (No. 127), with a = 7.582 Å, b = 7.582 Å, c = 3.278 Å, α = 90.00°, β = 90.00° and γ = 90.00°. The distinct sites, in fractional coordinates, are Li at (0.147, 0.353, 0.000), Os at (0.000, 0.000, 0.000) and Br at (0.165, 0.665, 0.500).

The calculation puts the calculated volume at 18.85 Å³ per atom.

Version ii
Compound: Li2OsBr2
Source: Alexandria via LeMat-Bulk
Functional: PBE-GGA
Structure: optimized geometry

It has space group I4/mmm (No. 139), with a = 5.208 Å, b = 5.208 Å, c = 9.276 Å, α = 90.00°, β = 90.00° and γ = 90.00°. The distinct sites, in fractional coordinates, are Li at (0.000, 0.000, 0.206), Os at (0.000, 0.000, 0.500) and Br at (0.000, 0.500, 0.250).

The calculation puts the calculated volume at 25.16 Å³ per atom.

Of them, the most stable is version i and the least stable is version ii.

Version i
Compound: LiPBr
Source: Alexandria via LeMat-Bulk
Functional: PBE-GGA
Structure: optimized geometry

It has space group P-1 (No. 2), with a = 3.365 Å, b = 6.558 Å, c = 7.923 Å, α = 114.37°, β = 102.11° and γ = 90.00°. The distinct sites, in fractional coordinates, are Li at (0.000, 0.000, 0.000), Li at (0.000, 0.500, 0.000), P at (0.202, 0.452, 0.403) and Br at (0.428, 0.177, 0.854).

The calculation puts the calculated volume at 25.83 Å³ per atom.

Version ii
Compound: LiPBr
Source: Alexandria via LeMat-Bulk
Functional: PBE-GGA
Structure: optimized geometry

It has space group I4mm (No. 107), with a = 2.862 Å, b = 2.862 Å, c = 16.098 Å, α = 90.00°, β = 90.00° and γ = 90.00°. The distinct sites, in fractional coordinates, are Li at (0.000, 0.000, 0.000), P at (0.000, 0.000, 0.382) and Br at (0.000, 0.000, 0.620).

The calculation puts the calculated volume at 21.97 Å³ per atom.

Version iii
Compound: LiPBr
Source: Alexandria via LeMat-Bulk
Functional: PBE-GGA
Structure: optimized geometry

It has space group P3m1 (No. 156), with a = 3.0486 Å, b = 3.0486 Å, c = 8.3311 Å, α = 90.00°, β = 90.00° and γ = 120.00°. The distinct sites, in fractional coordinates, are Li at (0.0000, 0.0000, 0.0000), P at (0.6667, 0.3333, 0.2493) and Br at (0.3333, 0.6667, 0.7767).

The calculation puts the calculated volume at 22.35 Å³ per atom.

Of them, the most stable is version i and the least stable is version iii.

Version i
Compound: LiPBr2
Source: Alexandria via LeMat-Bulk
Functional: PBE-GGA
Structure: optimized geometry

It has space group I-4m2 (No. 119), with a = 3.714 Å, b = 3.714 Å, c = 16.669 Å, α = 90.00°, β = 90.00° and γ = 90.00°. The distinct sites, in fractional coordinates, are Li at (0.000, 0.000, 0.000), P at (0.000, 0.500, 0.750), Br at (0.000, 0.000, 0.500) and Br at (0.000, 0.500, 0.250).

The calculation puts the calculated volume at 28.74 Å³ per atom.

Version ii
Compound: LiPBr2
Source: Alexandria via LeMat-Bulk
Functional: PBE-GGA
Structure: optimized geometry

It has space group P4/mmm (No. 123), with a = 3.952 Å, b = 3.952 Å, c = 5.762 Å, α = 90.00°, β = 90.00° and γ = 90.00°. The distinct sites, in fractional coordinates, are Li at (0.000, 0.000, 0.000), P at (0.500, 0.500, 0.500), Br at (0.000, 0.000, 0.500) and Br at (0.500, 0.500, 0.000).

The calculation puts the calculated volume at 22.50 Å³ per atom.

Of them, the most stable is version ii and the least stable is version i.

Version i
Compound: LiPBr2
Source: Alexandria via LeMat-Bulk
Functional: PBE-GGA
Structure: optimized geometry

It has space group Pmmm (No. 47), with a = 3.705 Å, b = 3.765 Å, c = 8.248 Å, α = 90.00°, β = 90.00° and γ = 90.00°. The distinct sites, in fractional coordinates, are Li at (0.000, 0.000, 0.000), P at (0.500, 0.000, 0.500), Br at (0.000, 0.500, 0.500) and Br at (0.500, 0.500, 0.000).

The calculation puts the calculated volume at 28.76 Å³ per atom.

Version ii
Compound: LiPBr2
Source: Alexandria via LeMat-Bulk
Functional: PBE-GGA
Structure: optimized geometry

It has space group F-43m (No. 216), with a = 7.291 Å, b = 7.291 Å, c = 7.291 Å, α = 90.00°, β = 90.00° and γ = 90.00°. The distinct sites, in fractional coordinates, are Li at (0.000, 0.000, 0.000), P at (0.250, 0.250, 0.750), Br at (0.000, 0.000, 0.500) and Br at (0.250, 0.250, 0.250).

The calculation puts the calculated volume at 24.23 Å³ per atom.

Version iii
Compound: LiPBr2
Source: Alexandria via LeMat-Bulk
Functional: PBE-GGA
Structure: optimized geometry

It has space group P2/m (No. 10), with a = 5.164 Å, b = 3.757 Å, c = 5.188 Å, α = 90.00°, β = 93.60° and γ = 90.00°. The distinct sites, in fractional coordinates, are Li at (0.000, 0.000, 0.000), P at (0.500, 0.000, 0.500) and Br at (0.254, 0.500, 0.745).

The calculation puts the calculated volume at 25.11 Å³ per atom.

Version iv
Compound: LiPBr2
Source: Alexandria via LeMat-Bulk
Functional: PBE-GGA
Structure: optimized geometry

It has space group P4/mmm (No. 123), with a = 4.952 Å, b = 4.952 Å, c = 3.432 Å, α = 90.00°, β = 90.00° and γ = 90.00°. The distinct sites, in fractional coordinates, are Li at (0.000, 0.000, 0.000), P at (0.500, 0.500, 0.000) and Br at (0.000, 0.500, 0.500).

The calculation puts the calculated volume at 21.05 Å³ per atom.

Of them, the most stable is version i and the least stable is version ii.

Version i
Compound: LiPBr3
Source: Alexandria via LeMat-Bulk
Functional: PBE-GGA
Structure: optimized geometry

It has space group P2_1/m (No. 11), with a = 7.736 Å, b = 4.904 Å, c = 9.388 Å, α = 90.00°, β = 107.62° and γ = 90.00°. The distinct sites, in fractional coordinates, are Li at (0.142, 0.250, 0.062), P at (0.496, 0.250, 0.488), Br at (0.191, 0.250, 0.374), Br at (0.200, 0.750, 0.003) and Br at (0.392, 0.750, 0.705).

The calculation puts the calculated volume at 33.94 Å³ per atom.

Version ii
Compound: LiPBr3
Source: Alexandria via LeMat-Bulk
Functional: PBE-GGA
Structure: optimized geometry

It has space group Pm-3m (No. 221), with a = 4.965 Å, b = 4.965 Å, c = 4.965 Å, α = 90.00°, β = 90.00° and γ = 90.00°. The distinct sites, in fractional coordinates, are Li at (0.000, 0.000, 0.000), P at (0.500, 0.500, 0.500) and Br at (0.000, 0.000, 0.500).

The calculation puts the calculated volume at 24.47 Å³ per atom.

Of them, the most stable is version i and the least stable is version ii.

Version i
Compound: Li3PBr
Source: Alexandria via LeMat-Bulk
Functional: PBE-GGA
Structure: optimized geometry

It has space group Pm-3m (No. 221), with a = 4.767 Å, b = 4.767 Å, c = 4.767 Å, α = 90.00°, β = 90.00° and γ = 90.00°. The distinct sites, in fractional coordinates, are Li at (0.000, 0.000, 0.500), P at (0.000, 0.000, 0.000) and Br at (0.500, 0.500, 0.500).

The calculation puts the calculated volume at 21.67 Å³ per atom.

Version ii
Compound: Li3PBr
Source: Alexandria via LeMat-Bulk
Functional: PBE-GGA
Structure: optimized geometry

It has space group Pm-3m (No. 221), with a = 4.704 Å, b = 4.704 Å, c = 4.704 Å, α = 90.00°, β = 90.00° and γ = 90.00°. The distinct sites, in fractional coordinates, are Li at (0.000, 0.000, 0.500), P at (0.500, 0.500, 0.500) and Br at (0.000, 0.000, 0.000).

The calculation puts the calculated volume at 20.82 Å³ per atom.

Of them, the most stable is version i and the least stable is version ii.

Version i
Compound: LiPS2Br
Source: Alexandria via LeMat-Bulk
Functional: PBE-GGA
Structure: optimized geometry

It has space group P4/mmm (No. 123), with a = 4.987 Å, b = 4.987 Å, c = 4.966 Å, α = 90.00°, β = 90.00° and γ = 90.00°. The distinct sites, in fractional coordinates, are Li at (0.000, 0.000, 0.000), P at (0.500, 0.500, 0.000), S at (0.000, 0.500, 0.500) and Br at (0.500, 0.500, 0.500).

The calculation puts the calculated volume at 24.70 Å³ per atom.

Version ii
Compound: LiPS2Br
Source: Alexandria via LeMat-Bulk
Functional: PBE-GGA
Structure: optimized geometry

It has space group P4/mmm (No. 123), with a = 4.104 Å, b = 4.104 Å, c = 7.475 Å, α = 90.00°, β = 90.00° and γ = 90.00°. The distinct sites, in fractional coordinates, are Li at (0.000, 0.000, 0.000), P at (0.000, 0.000, 0.500), S at (0.000, 0.500, 0.000) and Br at (0.500, 0.500, 0.500).

The calculation puts the calculated volume at 25.18 Å³ per atom.

Of them, the most stable is version ii and the least stable is version i.

Version i
Compound: LiPSeBr2
Source: Alexandria via LeMat-Bulk
Functional: PBE-GGA
Structure: optimized geometry

It has space group P4/mmm (No. 123), with a = 5.357 Å, b = 5.357 Å, c = 4.734 Å, α = 90.00°, β = 90.00° and γ = 90.00°. The distinct sites, in fractional coordinates, are Li at (0.000, 0.000, 0.000), P at (0.500, 0.500, 0.500), Se at (0.500, 0.500, 0.000) and Br at (0.000, 0.500, 0.500).

The calculation puts the calculated volume at 27.17 Å³ per atom.

Version ii
Compound: LiPSeBr2
Source: Alexandria via LeMat-Bulk
Functional: PBE-GGA
Structure: optimized geometry

It has space group P4/mmm (No. 123), with a = 4.750 Å, b = 4.750 Å, c = 4.988 Å, α = 90.00°, β = 90.00° and γ = 90.00°. The distinct sites, in fractional coordinates, are Li at (0.000, 0.000, 0.000), P at (0.500, 0.500, 0.500), Se at (0.000, 0.000, 0.500) and Br at (0.000, 0.500, 0.000).

The calculation puts the calculated volume at 22.51 Å³ per atom.

Of them, the most stable is version i and the least stable is version ii.

Version i
Compound: Li2PbBr
Source: Alexandria via LeMat-Bulk
Functional: PBE-GGA
Structure: optimized geometry

It has space group F-43m (No. 216), with a = 7.597 Å, b = 7.597 Å, c = 7.597 Å, α = 90.00°, β = 90.00° and γ = 90.00°. The distinct sites, in fractional coordinates, are Li at (0.000, 0.000, 0.000), Li at (0.250, 0.250, 0.250), Pb at (0.250, 0.250, 0.750) and Br at (0.000, 0.000, 0.500).

The calculation puts the calculated volume at 27.41 Å³ per atom.

Version ii
Compound: Li2PbBr
Source: Alexandria via LeMat-Bulk
Functional: PBE-GGA
Structure: optimized geometry

It has space group Immm (No. 71), with a = 3.446 Å, b = 6.516 Å, c = 8.904 Å, α = 90.00°, β = 90.00° and γ = 90.00°. The distinct sites, in fractional coordinates, are Li at (0.000, 0.000, 0.217), Pb at (0.000, 0.500, 0.000) and Br at (0.000, 0.500, 0.500).

The calculation puts the calculated volume at 24.99 Å³ per atom.

Version iii
Compound: Li2PbBr
Source: Alexandria via LeMat-Bulk
Functional: PBE-GGA
Structure: optimized geometry

It has space group P4mm (No. 99), with a = 3.466 Å, b = 3.466 Å, c = 8.366 Å, α = 90.00°, β = 90.00° and γ = 90.00°. The distinct sites, in fractional coordinates, are Li at (0.000, 0.000, 0.000), Li at (0.500, 0.500, 0.400), Pb at (0.000, 0.000, 0.637) and Br at (0.500, 0.500, 0.100).

The calculation puts the calculated volume at 25.13 Å³ per atom.

Of them, the most stable is version iii and the least stable is version i.